VASP calculation (PBE) on a relaxed K6Fe3Cl14 crystal.

Output
VASP energy: -0.28978 Ry/atom
ΔE_f (raw): -3170 kJ/mol of formula units
V: 700.1 Å³/cell

Unit cell a=11.2787 b=11.2787 c=6.3547 alpha=90.00 beta=90.00 gamma=120.00
Space group P3 (No. 143)
One atom of each set of equivalent atoms:
K 0.0224 0.5649 0.0000 x3
K 0.3042 0.0953 0.5111 x3
Fe 0.0000 0.0000 0.9382 x1
Fe 0.3333 0.6667 0.4280 x1
Fe 0.6667 0.3333 0.2899 x1
Cl 0.0000 0.0000 0.2907 x1
Cl 0.0719 0.8604 0.8109 x3
Cl 0.1987 0.4546 0.3032 x3
Cl 0.3333 0.6667 0.7810 x1
Cl 0.4619 0.1996 0.0719 x3
Cl 0.5312 0.4034 0.5030 x3